First-principles (PBE) data for crystalline LiFe2Ag at its relaxed geometry, as listed in Alexandria via LeMat-Bulk.

Structure (POSCAR):
```
LiFe2Ag
1.0
-2.248 -1.991 3.943
-1.031 -1.700 -4.540
1.927 -1.746 0.216
Ag Fe Li
1 2 1
Direct
0.000 0.500 0.500
0.000 0.000 0.000
0.500 0.500 0.000
0.500 0.000 0.500
```

Calculated values
space-group type	Cmmm (65)
DFT formation energy	0.34	eV per atom

=====

First-principles (PBE) data for crystalline LiFe2Ag at its relaxed geometry, as listed in Alexandria via LeMat-Bulk.

Structure (POSCAR):
```
LiFe2Ag
1.0
-3.975 1.423 2.784
0.454 -0.743 4.982
1.786 2.350 -4.107
Ag Fe Li
1 2 1
Direct
0.246 0.746 0.500
0.980 0.980 0.000
0.768 0.268 0.500
0.506 0.506 0.000
```

Calculated values
space-group type	Imm2 (44)
DFT formation energy	0.33	eV per atom

=====

First-principles (PBE) data for crystalline LiFeAg2 at its relaxed geometry, as listed in Alexandria via LeMat-Bulk.

Structure (POSCAR):
```
LiFeAg2
1.0
-0.767 0.797 2.619
-2.909 -3.901 0.335
3.483 -2.446 1.765
Ag Fe Li
2 1 1
Direct
0.000 0.000 0.000
0.500 0.500 0.000
0.500 0.000 0.500
0.000 0.500 0.500
```

Calculated values
space-group type	Pmmm (47)
DFT formation energy	0.28	eV per atom